Here is an optimized crystal structure of K2DyTe3O12 from Alexandria via LeMat-Bulk. Energies are from PBE-GGA.

a b c (Å): 7.5474 7.5474 7.5474
angles (deg): 58.76 58.76 58.76
With the nearest neighbours (Å) after each atom.
Fractional coordinates of all 18 atoms:
K1 0.1258 0.1258 0.1258  6 O 3.14-3.29
K2 0.8742 0.8742 0.8742  6 O 3.14-3.29
Dy1 0.5000 0.5000 0.5000  6 O 2.24
Te1 0.0000 0.5000 0.5000  6 O 1.89-1.98
Te2 0.5000 0.0000 0.5000  6 O 1.89-1.98
Te3 0.5000 0.5000 0.0000  6 O 1.89-1.98
O1 0.1426 0.5787 0.5787  1 Te 1.89
O2 0.1848 0.1848 0.5837  2 Te 1.98
O3 0.1848 0.5837 0.1848  2 Te 1.98
O4 0.4163 0.8152 0.8152  2 Te 1.98
O5 0.4213 0.4213 0.8574  1 Te 1.89
O6 0.4213 0.8574 0.4213  1 Te 1.89
O7 0.5787 0.1426 0.5787  1 Te 1.89
O8 0.5787 0.5787 0.1426  1 Te 1.89
O9 0.5837 0.1848 0.1848  2 Te 1.98
O10 0.8152 0.4163 0.8152  2 Te 1.98
O11 0.8152 0.8152 0.4163  2 Te 1.98
O12 0.8574 0.4213 0.4213  1 Te 1.89

Computed properties:
**Formation energy from raw total energies**: -1.45 eV per atom
**Total DFT energy (no corrections)**: -5.6577 eV/atom
**Total magnetization**: 0.80 μB/cell

***

Here is an optimized crystal structure of K2Dy2TeO6 from Alexandria via LeMat-Bulk. Energies are from PBE-GGA.

a b c (Å): 5.9551 5.9551 6.6525
angles (deg): 98.20 98.20 119.85
With the nearest neighbours (Å) after each atom.
Fractional coordinates of all 11 atoms:
K1 0.1645 0.8355 0.0000  6 O 2.81-2.91
K2 0.8355 0.1645 0.0000  6 O 2.81-2.91
Dy1 0.3348 0.6652 0.5000  6 O 2.28-2.32
Dy2 0.6652 0.3348 0.5000  6 O 2.28-2.32
Te1 0.0000 0.0000 0.5000  6 O 2.21-2.26
O1 0.0502 0.3822 0.6758  1 Te 2.26, 2 Dy 2.28-2.32
O2 0.2624 0.2624 0.3239  1 Te 2.21, 2 Dy 2.31
O3 0.3822 0.0502 0.6758  1 Te 2.26, 2 Dy 2.28-2.32
O4 0.6178 0.9498 0.3242  1 Te 2.26, 2 Dy 2.28-2.32
O5 0.7376 0.7376 0.6761  1 Te 2.21, 2 Dy 2.31
O6 0.9498 0.6178 0.3242  1 Te 2.26, 2 Dy 2.28-2.32

Computed properties:
**Formation energy from raw total energies**: -2.29 eV per atom
**Total DFT energy (no corrections)**: -6.3145 eV/atom
**Total magnetization**: 0.00 μB/cell

***

Here is an optimized crystal structure of KDyTiO4 from Alexandria via LeMat-Bulk. Energies are from PBE-GGA.

a b c (Å): 13.0148 5.5129 5.4029
angles (deg): 90.00 90.00 90.00
With the nearest neighbours (Å) after each atom.
Fractional coordinates of all 28 atoms:
K1 0.0959 0.0209 0.2500  7 O 2.71-2.96
K2 0.0959 0.4791 0.7500  7 O 2.71-2.96
K3 0.9041 0.5209 0.2500  7 O 2.71-2.96
K4 0.9041 0.9791 0.7500  7 O 2.71-2.96
Dy1 0.3991 0.0274 0.2500  4 O 2.17-2.40
Dy2 0.3991 0.4726 0.7500  4 O 2.17-2.40
Dy3 0.6009 0.5274 0.2500  4 O 2.17-2.40
Dy4 0.6009 0.9726 0.7500  4 O 2.17-2.40
Ti1 0.2565 0.5075 0.2500  3 O 1.77-1.97
Ti2 0.2565 0.9925 0.7500  3 O 1.77-1.97
Ti3 0.7435 0.0075 0.2500  3 O 1.77-1.97
Ti4 0.7435 0.4925 0.7500  3 O 1.77-1.97
O1 0.1213 0.5337 0.2500  1 Ti 1.77
O2 0.1213 0.9663 0.7500  1 Ti 1.77
O3 0.2735 0.2500 0.0000  2 Ti 1.97
O4 0.2735 0.2500 0.5000  2 Ti 1.97
O5 0.3021 0.7500 0.0000  2 Ti 1.99
O6 0.3021 0.7500 0.5000  2 Ti 1.99
O7 0.4398 0.0750 0.7500  2 Dy 2.17-2.26, 1 Ti 2.43
O8 0.4398 0.4250 0.2500  2 Dy 2.17-2.26, 1 Ti 2.43
O9 0.5602 0.5750 0.7500  2 Dy 2.17-2.26, 1 Ti 2.43
O10 0.5602 0.9250 0.2500  2 Dy 2.17-2.26, 1 Ti 2.43
O11 0.6979 0.2500 0.0000  2 Ti 1.99
O12 0.6979 0.2500 0.5000  2 Ti 1.99
O13 0.7265 0.7500 0.0000  2 Ti 1.97
O14 0.7265 0.7500 0.5000  2 Ti 1.97
O15 0.8787 0.0337 0.2500  1 Ti 1.77
O16 0.8787 0.4663 0.7500  1 Ti 1.77

Computed properties:
**Formation energy from raw total energies**: -3.00 eV per atom
**Total DFT energy (no corrections)**: -7.7765 eV/atom
**Relative energy among the computed polymorphs**: 0.000 eV/atom
**Total magnetization**: 0.00 μB/cell

***

Here is an optimized crystal structure of K2DyTiO4 from Alexandria via LeMat-Bulk. Energies are from PBE-GGA.

a b c (Å): 7.3780 7.4096 5.9738
angles (deg): 90.00 90.00 90.00
With the nearest neighbours (Å) after each atom.
Fractional coordinates of all 16 atoms:
K1 0.2423 0.1577 0.0000  4 O 2.77-3.06
K2 0.2577 0.8423 0.5000  4 O 2.77-3.06
K3 0.7423 0.8423 0.5000  4 O 2.77-3.06
K4 0.7577 0.1577 0.0000  4 O 2.77-3.06
Dy1 0.0000 0.6576 0.9826  4 O 2.15-2.25
Dy2 0.5000 0.3424 0.4826  4 O 2.15-2.25
Ti1 0.0000 0.3717 0.4781  4 O 1.84-1.86
Ti2 0.5000 0.6283 0.9781  4 O 1.84-1.86
O1 0.0000 0.4126 0.1741  1 Ti 1.84
O2 0.0000 0.5909 0.6306  1 Ti 1.86
O3 0.2133 0.2515 0.5424  1 Ti 1.85
O4 0.2867 0.7485 0.0424  1 Ti 1.85
O5 0.5000 0.4091 0.1306  1 Ti 1.86
O6 0.5000 0.5874 0.6741  1 Ti 1.84
O7 0.7133 0.7485 0.0424  1 Ti 1.85
O8 0.7867 0.2515 0.5424  1 Ti 1.85

Computed properties:
**Formation energy from raw total energies**: -2.48 eV per atom
**Total DFT energy (no corrections)**: -6.7964 eV/atom
**Total magnetization**: 1.53 μB/cell

***

Here is an optimized crystal structure of KDyTiO4 from Alexandria via LeMat-Bulk. Energies are from PBE-GGA.

a b c (Å): 5.9241 6.0100 7.4603
angles (deg): 90.00 108.19 90.00
With the nearest neighbours (Å) after each atom.
Fractional coordinates of all 14 atoms:
K1 0.1855 0.2500 0.4304  2 O 2.59-2.67
K2 0.8145 0.7500 0.5696  2 O 2.59-2.67
Dy1 0.3133 0.2500 0.9575  6 O 2.25-2.39
Dy2 0.6867 0.7500 0.0425  6 O 2.25-2.39
Ti1 0.2277 0.7500 0.1608  4 O 1.78-1.87
Ti2 0.7723 0.2500 0.8392  4 O 1.78-1.87
O1 0.0127 0.7500 0.9321  1 Ti 1.78
O2 0.0236 0.7500 0.3005  1 Ti 1.83
O3 0.4458 0.5224 0.1717  1 Ti 1.87
O4 0.4458 0.9776 0.1717  1 Ti 1.87
O5 0.5542 0.0224 0.8283  1 Ti 1.87
O6 0.5542 0.4776 0.8283  1 Ti 1.87
O7 0.9764 0.2500 0.6995  1 Ti 1.83
O8 0.9873 0.2500 0.0679  1 Ti 1.78

Computed properties:
**Formation energy from raw total energies**: -2.93 eV per atom
**Total DFT energy (no corrections)**: -7.7076 eV/atom
**Relative energy among the computed polymorphs**: 0.069 eV/atom
**Total magnetization**: 0.00 μB/cell

***

Here is an optimized crystal structure of K3Dy2TlO6 from Alexandria via LeMat-Bulk. Energies are from PBE-GGA.

a b c (Å): 6.0289 6.0289 6.5927
angles (deg): 98.74 98.74 119.99
With the nearest neighbours (Å) after each atom.
Fractional coordinates of all 12 atoms:
K1 0.0000 0.0000 0.0000  6 O 2.75-2.81
K2 0.3369 0.6631 0.0000  6 O 2.77-2.81
K3 0.6631 0.3369 0.0000  6 O 2.77-2.81
Dy1 0.1669 0.8331 0.5000  6 O 2.32
Dy2 0.8331 0.1669 0.5000  6 O 2.32
Tl1 0.5000 0.5000 0.5000  6 O 2.39
O1 0.0935 0.4361 0.3080  2 Dy 2.32, 1 Tl 2.39
O2 0.2212 0.2212 0.6914  2 Dy 2.32, 1 Tl 2.39
O3 0.4361 0.0935 0.3080  2 Dy 2.32, 1 Tl 2.39
O4 0.5639 0.9065 0.6920  2 Dy 2.32, 1 Tl 2.39
O5 0.7788 0.7788 0.3086  2 Dy 2.32, 1 Tl 2.39
O6 0.9065 0.5639 0.6920  2 Dy 2.32, 1 Tl 2.39

Computed properties:
**Formation energy from raw total energies**: -2.17 eV per atom
**Total DFT energy (no corrections)**: -5.8898 eV/atom
**Total magnetization**: 0.00 μB/cell

***

Here is an optimized crystal structure of K2DyTlO4 from Alexandria via LeMat-Bulk. Energies are from PBE-GGA.

a b c (Å): 6.0223 3.4870 6.6088
angles (deg): 90.00 108.35 90.00
With the nearest neighbours (Å) after each atom.
Fractional coordinates of all 8 atoms:
K1 0.0000 0.0000 0.0000  6 O 2.74-2.76
K2 0.5000 0.5000 0.0000  6 O 2.80-2.81
Dy1 0.0000 0.5000 0.5000  6 O 2.31-2.34
Tl1 0.5000 0.0000 0.5000  6 O 2.35-2.42
O1 0.2188 0.0000 0.6935  2 Dy 2.31, 1 Tl 2.42
O2 0.2652 0.5000 0.3058  1 Dy 2.34, 2 Tl 2.35
O3 0.7348 0.5000 0.6942  1 Dy 2.34, 2 Tl 2.35
O4 0.7812 0.0000 0.3065  2 Dy 2.31, 1 Tl 2.42

Computed properties:
**Formation energy from raw total energies**: -1.88 eV per atom
**Total DFT energy (no corrections)**: -5.5080 eV/atom
**Total magnetization**: 0.00 μB/cell

***

Here is an optimized crystal structure of KDyTlO3 from Alexandria via LeMat-Bulk. Energies are from PBE-GGA.

a b c (Å): 6.7856 3.4948 11.0883
angles (deg): 90.00 107.64 90.00
With the nearest neighbours (Å) after each atom.
Fractional coordinates of all 12 atoms:
K1 0.0066 0.2500 0.2878  5 O 2.70-2.87
K2 0.9934 0.7500 0.7122  5 O 2.70-2.87
Dy1 0.4698 0.7500 0.6254  6 O 2.22-2.40
Dy2 0.5302 0.2500 0.3746  6 O 2.22-2.40
Tl1 0.4426 0.7500 0.1025  3 O 2.22-2.30
Tl2 0.5574 0.2500 0.8975  3 O 2.22-2.30
O1 0.2936 0.2500 0.1636  2 Tl 2.22, 1 Dy 2.40
O2 0.3116 0.2500 0.7014  1 Tl 2.30, 2 Dy 2.34
O3 0.3404 0.7500 0.4162  3 Dy 2.22-2.30
O4 0.6596 0.2500 0.5838  3 Dy 2.22-2.30
O5 0.6884 0.7500 0.2986  1 Tl 2.30, 2 Dy 2.34
O6 0.7064 0.7500 0.8364  2 Tl 2.22, 1 Dy 2.40

Computed properties:
**Formation energy from raw total energies**: -1.97 eV per atom
**Total DFT energy (no corrections)**: -5.7958 eV/atom
**Total magnetization**: 0.00 μB/cell